1.
# BaNpCuSe3 PBE-GGA relaxed
data_BaNpCuSe3
_symmetry_space_group_name_H-M 'P 1 21/m 1'
_symmetry_Int_Tables_number 11
_symmetry_space_group_name_Hall '-P 2yb'
_cell_length_a 8.9273
_cell_length_b 4.1974
_cell_length_c 9.3030
_cell_angle_alpha 90.00
_cell_angle_beta 105.42
_cell_angle_gamma 90.00
loop_
_atom_site_label
_atom_site_type_symbol
_atom_site_fract_x
_atom_site_fract_y
_atom_site_fract_z
_atom_site_occupancy
Ba1 Ba 0.1912 0.2500 0.2415 1
Np1 Np 0.3277 0.7500 0.8409 1
Cu1 Cu 0.0806 0.2500 0.5885 1
Se1 Se 0.1088 0.2500 0.8618 1
Se2 Se 0.2096 0.7500 0.5221 1
Se3 Se 0.4476 0.7500 0.1650 1
# * density of states at the Fermi level: 20.8 states/eV per cell
# * calculated density: 6.67 g cm⁻³
# * uncorrected formation energy: -1229 meV per atom

---

2.
# BaNp2CuSe5 PBE-GGA relaxed
data_BaNp2CuSe5
_symmetry_space_group_name_H-M 'I 4/m c m'
_symmetry_Int_Tables_number 140
_symmetry_space_group_name_Hall '-I 4 2c'
_cell_length_a 7.9276
_cell_length_b 7.9276
_cell_length_c 14.2659
_cell_angle_alpha 90.00
_cell_angle_beta 90.00
_cell_angle_gamma 90.00
loop_
_atom_site_label
_atom_site_type_symbol
_atom_site_fract_x
_atom_site_fract_y
_atom_site_fract_z
_atom_site_occupancy
Ba1 Ba 0.0000 0.0000 0.2500 1
Np1 Np 0.1553 0.3447 0.0000 1
Cu1 Cu 0.0000 0.5000 0.2500 1
Se1 Se 0.0000 0.0000 0.0000 1
Se2 Se 0.1518 0.3482 0.3697 1
# * density of states at the Fermi level: 71.8 states/eV per cell
# * calculated density: 7.92 g cm⁻³
# * uncorrected formation energy: -1192 meV per atom

---

3.
# BaNp4Cu3Se12 PBE-GGA relaxed
data_BaNp4Cu3Se12
_symmetry_space_group_name_H-M 'I m -3'
_symmetry_Int_Tables_number 204
_symmetry_space_group_name_Hall '-I 2 2 3'
_cell_length_a 10.2077
_cell_length_b 10.2077
_cell_length_c 10.2077
_cell_angle_alpha 90.00
_cell_angle_beta 90.00
_cell_angle_gamma 90.00
loop_
_atom_site_label
_atom_site_type_symbol
_atom_site_fract_x
_atom_site_fract_y
_atom_site_fract_z
_atom_site_occupancy
Ba1 Ba 0.0000 0.0000 0.0000 1
Np1 Np 0.2500 0.2500 0.2500 1
Cu1 Cu 0.0000 0.0000 0.5000 1
Se1 Se 0.0000 0.1642 0.3167 1
# * density of states at the Fermi level: 96.7 states/eV per cell
# * calculated density: 6.94 g cm⁻³
# * uncorrected formation energy: -763 meV per atom